LiCePdPt: relaxed, PBE-GGA.

Calculated values
M_tot   0.633 Bohr magnetons per cell
Energy relative to the elements   -0.6948 eV per atom

Cell: 4.773 4.773 4.773 Å, 60.00 60.00 60.00°
Element x y z (fractional)
Li (0.000, 0.000, 0.000)
Ce (0.500, 0.500, 0.500)
Pd (0.250, 0.250, 0.250)
Pt (0.750, 0.750, 0.750)